# 1
LaBO3 | meta-GGA SCAN | single point on PBEsol structure

Cell lengths 4.152, 5.061, 6.276 Å; angles 90.00, 107.71, 90.00 degrees
Space group P2_1/m (No. 11)
Inequivalent atoms, fractional coordinates:
La 0.121 0.250 0.276 x2
B 0.498 0.250 0.753 x2
O 0.169 0.750 0.115 x2
O 0.340 0.015 0.671 x4

---

# 2
La2B4O9 | meta-GGA SCAN | single point on PBEsol structure

Cell lengths 6.325, 6.676, 7.677 Å; angles 101.81, 96.64, 102.68 degrees
Space group P-1 (No. 2)
Inequivalent atoms, fractional coordinates:
La 0.043 0.094 0.282 x2
La 0.385 0.679 0.358 x2
B 0.129 0.357 0.657 x2
B 0.163 0.672 0.925 x2
B 0.225 0.335 0.981 x2
B 0.493 0.154 0.183 x2
O 0.007 0.777 0.014 x2
O 0.047 0.534 0.750 x2
O 0.070 0.812 0.435 x2
O 0.259 0.267 0.794 x2
O 0.270 0.563 0.036 x2
O 0.277 0.406 0.530 x2
O 0.317 0.854 0.885 x2
O 0.355 0.277 0.132 x2
O 0.437 0.056 0.318 x2

---

# 3
La4B6O15 | meta-GGA SCAN | single point on PBEsol structure

Cell lengths 12.130, 4.462, 19.677 Å; angles 90.00, 97.33, 90.00 degrees
Space group C2/c (No. 15)
Inequivalent atoms, fractional coordinates:
La 0.123 0.209 0.094 x8
La 0.141 0.212 0.304 x8
B 0.060 0.281 0.694 x8
B 0.104 0.292 0.911 x8
B 0.173 0.197 0.473 x8
O 0.000 0.152 0.750 x4
O 0.003 0.182 0.625 x8
O 0.059 0.396 0.196 x8
O 0.092 0.387 0.432 x8
O 0.130 0.108 0.973 x8
O 0.171 0.149 0.701 x8
O 0.187 0.271 0.863 x8
O 0.209 0.287 0.547 x8

---

# 4
La5B3O13 | meta-GGA SCAN | single point on PBEsol structure

Cell lengths 9.2281, 9.2281, 7.1042 Å; angles 90.00, 90.00, 120.00 degrees
Space group P6_3/m (No. 176)
Inequivalent atoms, fractional coordinates:
La 0.0211 0.2562 0.2500 x6
La 0.3333 0.6667 0.5025 x4
B 0.0348 0.4038 0.7500 x6
O 0.0000 0.0000 0.2500 x2
O 0.0875 0.3481 0.5800 x12
O 0.1254 0.5887 0.7500 x6
O 0.1476 0.6642 0.2500 x6

---

# 5
Rb3La3B4O12 | meta-GGA SCAN | single point on PBEsol structure

Cell lengths 10.962, 9.258, 14.366 Å; angles 90.00, 110.50, 90.00 degrees
Space group P2/c (No. 13)
Inequivalent atoms, fractional coordinates:
Rb 0.082 0.148 0.418 x4
Rb 0.297 0.433 0.903 x4
Rb 0.392 0.076 0.042 x4
La 0.000 0.192 0.750 x2
La 0.164 0.473 0.621 x4
La 0.291 0.195 0.254 x4
La 0.500 0.268 0.750 x2
B 0.000 0.410 0.250 x2
B 0.129 0.260 0.995 x4
B 0.239 0.108 0.718 x4
B 0.381 0.267 0.520 x4
B 0.500 0.403 0.250 x2
O 0.000 0.441 0.750 x2
O 0.029 0.361 0.979 x4
O 0.100 0.339 0.231 x4
O 0.129 0.160 0.925 x4
O 0.143 0.009 0.721 x4
O 0.217 0.254 0.723 x4
O 0.231 0.276 0.085 x4
O 0.297 0.352 0.550 x4
O 0.342 0.212 0.424 x4
O 0.353 0.054 0.714 x4
O 0.390 0.475 0.252 x4
O 0.497 0.234 0.914 x4
O 0.500 0.252 0.250 x2

---

# 6
LaSc3B4O12 | meta-GGA SCAN | single point on PBEsol structure

Cell lengths 9.5134, 9.5134, 8.4286 Å; angles 90.00, 90.00, 120.00 degrees
Space group R32 (No. 155, hexagonal axes)
Inequivalent atoms, fractional coordinates:
La 0.0000 0.0000 0.0000 x3
Sc 0.0000 0.5050 0.0000 x9
B 0.0000 0.0000 0.5000 x3
B 0.0000 0.4916 0.5000 x9
O 0.0000 0.1461 0.5000 x9
O 0.0000 0.6372 0.5000 x9
O 0.0133 0.1915 0.8144 x18

ΔE to the lowest computed polymorph = 108 meV per atom

---

# 7
LaSc3B4O12 | meta-GGA SCAN | single point on PBEsol structure

Cell lengths 7.675, 9.900, 12.025 Å; angles 90.00, 105.09, 90.00 degrees
Space group Cc (No. 9)
Inequivalent atoms, fractional coordinates:
La 0.000 0.041 0.000 x4
Sc 0.001 0.426 0.500 x4
Sc 0.050 0.251 0.277 x4
Sc 0.453 0.250 0.224 x4
B 0.203 0.306 0.976 x4
B 0.246 0.024 0.750 x4
B 0.257 0.475 0.751 x4
B 0.299 0.194 0.525 x4
O 0.068 0.241 0.896 x4
O 0.098 0.091 0.681 x4
O 0.112 0.406 0.681 x4
O 0.167 0.275 0.456 x4
O 0.206 0.443 0.993 x4
O 0.246 0.116 0.243 x4
O 0.258 0.386 0.258 x4
O 0.294 0.057 0.507 x4
O 0.337 0.226 0.044 x4
O 0.391 0.094 0.819 x4
O 0.404 0.407 0.819 x4
O 0.435 0.258 0.604 x4

ΔE to the lowest computed polymorph = 0 meV per atom

---

# 8
La2B2P | meta-GGA SCAN | single point on PBEsol structure

Cell lengths 5.386, 5.386, 3.202 Å; angles 90.00, 90.00, 90.00 degrees
Space group P4/mmm (No. 123)
Inequivalent atoms, fractional coordinates:
La 0.000 0.500 0.000 x2
B 0.000 0.000 0.000 x1
B 0.000 0.000 0.500 x1
P 0.500 0.500 0.500 x1

---

# 9
LaB3P | meta-GGA SCAN | single point on PBEsol structure

Cell lengths 4.665, 4.665, 4.665 Å; angles 90.00, 90.00, 90.00 degrees
Space group Pm-3m (No. 221)
Inequivalent atoms, fractional coordinates:
La 0.000 0.000 0.000 x1
B 0.000 0.000 0.500 x3
P 0.500 0.500 0.500 x1

---

# 10
La2TlBPb | meta-GGA SCAN | single point on PBEsol structure

Cell lengths 5.391, 5.391, 4.489 Å; angles 90.00, 90.00, 90.00 degrees
Space group P4/mmm (No. 123)
Inequivalent atoms, fractional coordinates:
La 0.000 0.500 0.000 x2
Tl 0.000 0.000 0.500 x1
B 0.000 0.000 0.000 x1
Pb 0.500 0.500 0.500 x1

---

# 11
LaBPt2 | meta-GGA SCAN | single point on PBEsol structure

Cell lengths 5.5209, 5.5209, 7.8115 Å; angles 90.00, 90.00, 120.00 degrees
Space group P6_422 (No. 181)
Inequivalent atoms, fractional coordinates:
La 0.0000 0.5000 0.3333 x3
B 0.0000 0.5000 0.8333 x3
Pt 0.1506 0.3013 0.0000 x6

---

# 12
RbLa2B | meta-GGA SCAN | single point on PBEsol structure

Cell lengths 8.440, 8.440, 7.980 Å; angles 90.00, 90.00, 90.00 degrees
Space group I-42d (No. 122)
Inequivalent atoms, fractional coordinates:
Rb 0.000 0.000 0.000 x4
La 0.131 0.250 0.625 x8
B 0.000 0.000 0.500 x4

---

Number 1: VASP energy -172.2 eV/cell, M_tot 0.00 μB per formula unit. Number 2: VASP energy -438.6 eV/cell, M_tot 0.00 μB per formula unit. Number 3: VASP energy -1565.1 eV/cell, M_tot 0.00 μB per formula unit. Number 4: VASP energy -773.7 eV/cell, M_tot 2.10 μB per formula unit. Number 5: VASP energy -1448.1 eV/cell, M_tot 0.00 μB per formula unit. Number 6: VASP energy -764.8 eV/cell, M_tot 0.00 μB per formula unit. Number 7: VASP energy -1028.4 eV/cell, M_tot 0.00 μB per formula unit. Number 8: VASP energy -114.9 eV/cell, M_tot 0.00 μB per formula unit. Number 9: VASP energy -61.9 eV/cell, M_tot 0.00 μB per formula unit. Number 10: VASP energy -243.4 eV/cell, M_tot 0.00 μB per formula unit. Number 11: VASP energy -585.8 eV/cell, M_tot 0.00 μB per formula unit. Number 12: VASP energy -449.3 eV/cell, M_tot 0.00 μB per formula unit.